Nb3MoPb | PBE-GGA | optimized geometry

Calculated values
The formation energy comes out at 1.051 eV/atom. The calculation puts the density of states at the Fermi level at 3.78 states/eV/f.u. The space group is Pm-3m (221). As for the energy relative to the lowest polymorph listed for this composition: 0.0 meV/atom.

Cell: 4.883 4.883 4.883 Å, 90.00 90.00 90.00°
Positions (direct):
Nb 0.000 0.000 0.500
Nb 0.000 0.500 0.000
Nb 0.500 0.000 0.000
Mo 0.000 0.000 0.000
Pb 0.500 0.500 0.500

Cd2IrSe | PBE-GGA | optimized geometry

Calculated values
The calculation puts the density of states at the Fermi level at 1.65 states/eV/f.u. The energy relative to the elements, uncorrected is 0.20 eV/atom. The space group is Cmmm (65).

Cell: 5.009 5.009 3.188 Å, 90.00 90.00 109.82°
Positions (direct):
Cd 0.000 0.500 0.000
Cd 0.500 0.000 0.000
Ir 0.000 0.000 0.500
Se 0.500 0.500 0.500

Tc3SnN | PBE-GGA | optimized geometry

Calculated values
The calculation puts the density of states at the Fermi level at 3.86 states/eV/f.u. The energy relative to the elements, uncorrected is 0.55 eV/atom. The space group is Amm2 (38). As for the energy relative to the lowest polymorph listed for this composition: 507.6 meV/atom.

Cell: 2.954 7.105 7.105 Å, 42.74 90.00 90.00°
Positions (direct):
Tc 0.000 0.000 0.000
Tc 0.500 0.140 0.602
Tc 0.500 0.602 0.140
Sn 0.500 0.177 0.177
N 0.000 0.844 0.844

Tb6TlPb5 | PBE-GGA | optimized geometry

Calculated values
The formation energy comes out at -0.437 eV/atom. The calculation puts the density of states at the Fermi level at 9.23 states/eV/f.u. The space group is P2/m (10).

Cell: 5.021 8.901 7.977 Å, 90.00 108.18 90.00°
Positions (direct):
Tb 0.000 0.248 0.000
Tb 0.000 0.752 0.000
Tb 0.334 0.247 0.667
Tb 0.334 0.753 0.667
Tb 0.666 0.247 0.333
Tb 0.666 0.753 0.333
Tl 0.500 0.000 0.000
Pb 0.165 0.000 0.328
Pb 0.167 0.500 0.334
Pb 0.500 0.500 0.000
Pb 0.833 0.500 0.666
Pb 0.835 0.000 0.672

Zn2AgAu | PBE-GGA | optimized geometry

Calculated values
The formation energy comes out at -0.132 eV/atom. The calculation puts the density of states at the Fermi level at 1.06 states/eV/f.u. The space group is P4/mmm (123). As for the energy relative to the lowest polymorph listed for this composition: 12.5 meV/atom.

Cell: 3.193 3.193 6.364 Å, 90.00 90.00 90.00°
Positions (direct):
Zn 0.000 0.000 0.248
Zn 0.000 0.000 0.752
Ag 0.500 0.500 0.500
Au 0.500 0.500 0.000

V2ReSnN | PBE-GGA | optimized geometry

Calculated values
The calculation puts the density of states at the Fermi level at 7.46 states/eV/f.u. The energy relative to the elements, uncorrected is 2.00 eV/atom. The space group is P4/mmm (123).

Cell: 4.537 4.537 5.126 Å, 90.00 90.00 90.00°
Positions (direct):
V 0.000 0.500 0.000
V 0.500 0.000 0.000
Re 0.000 0.000 0.000
Sn 0.000 0.000 0.500
N 0.500 0.500 0.500

PrDyZnCu | PBE-GGA | optimized geometry

Calculated values
The formation energy comes out at -0.235 eV/atom. The calculation puts the density of states at the Fermi level at 2.83 states/eV/f.u. The space group is F-43m (216). As for the energy relative to the lowest polymorph listed for this composition: 16.2 meV/atom.

Cell: 5.089 5.089 5.089 Å, 60.00 60.00 60.00°
Positions (direct):
Pr 0.000 0.000 0.000
Dy 0.500 0.500 0.500
Zn 0.250 0.250 0.250
Cu 0.750 0.750 0.750

NaMnNi | PBE-GGA | optimized geometry

Calculated values
The formation energy comes out at 0.386 eV/atom. The calculation puts the density of states at the Fermi level at 1.66 states/eV/f.u. The space group is Imma (74). As for the energy relative to the lowest polymorph listed for this composition: 152.3 meV/atom.

Cell: 5.142 5.142 5.142 Å, 119.56 115.95 93.96°
Positions (direct):
Na 0.367 0.117 0.250
Na 0.633 0.883 0.750
Mn 0.000 0.500 0.500
Mn 0.500 0.500 0.000
Ni 0.000 0.000 0.500
Ni 0.000 0.500 0.000

Tb3As2Rh5Au2 | PBE-GGA | optimized geometry

Calculated values
The formation energy comes out at -0.823 eV/atom. The calculation puts the density of states at the Fermi level at 4.98 states/eV/f.u. The space group is I4/mmm (139).

Cell: 13.684 13.684 13.684 Å, 162.80 162.80 24.42°
Positions (direct):
Tb 0.000 0.000 0.000
Tb 0.161 0.161 0.000
Tb 0.839 0.839 0.000
As 0.373 0.373 0.000
As 0.627 0.627 0.000
Rh 0.078 0.578 0.500
Rh 0.422 0.922 0.500
Rh 0.500 0.500 0.000
Rh 0.578 0.078 0.500
Rh 0.922 0.422 0.500
Au 0.272 0.272 0.000
Au 0.728 0.728 0.000

K3ZrCl7 | PBE-GGA | optimized geometry

Calculated values
The calculation puts the density of states at the Fermi level at 0.00 states/eV/f.u. The energy relative to the elements, uncorrected is -1.86 eV/atom. The space group is Cm (8).

Cell: 7.332 7.332 7.887 Å, 114.75 114.75 88.52°
Positions (direct):
K 0.000 0.000 0.000
K 0.263 0.729 0.566
K 0.729 0.263 0.566
Zr 0.543 0.543 0.120
Cl 0.192 0.498 0.815
Cl 0.374 0.374 0.250
Cl 0.375 0.852 0.264
Cl 0.498 0.192 0.815
Cl 0.692 0.692 0.963
Cl 0.828 0.828 0.499
Cl 0.852 0.375 0.264

Ce7Th2Tc2 | PBE-GGA | optimized geometry

Calculated values
The formation energy comes out at 0.016 eV/atom. The calculation puts the density of states at the Fermi level at 26.00 states/eV/f.u. The space group is C2/m (12).

Cell: 6.000 6.000 8.438 Å, 94.19 94.19 107.86°
Positions (direct):
Ce 0.000 0.000 0.000
Ce 0.158 0.534 0.862
Ce 0.299 0.299 0.298
Ce 0.466 0.842 0.138
Ce 0.534 0.158 0.862
Ce 0.701 0.701 0.702
Ce 0.842 0.466 0.138
Th 0.218 0.782 0.500
Th 0.782 0.218 0.500
Tc 0.249 0.249 0.660
Tc 0.751 0.751 0.340

CrPAu2 | PBE-GGA | optimized geometry

Calculated values
The formation energy comes out at 0.254 eV/atom. The calculation puts the density of states at the Fermi level at 2.00 states/eV/f.u. The space group is I-42d (122).

Cell: 5.872 5.872 5.872 Å, 101.17 101.17 127.77°
Positions (direct):
Cr 0.000 0.000 0.000
Cr 0.750 0.250 0.500
P 0.250 0.750 0.500
P 0.500 0.500 0.000
Au 0.170 0.125 0.545
Au 0.375 0.830 0.955
Au 0.580 0.625 0.455
Au 0.875 0.420 0.045

Th2CoSnHg | PBE-GGA | optimized geometry

Calculated values
The formation energy comes out at -0.279 eV/atom. The calculation puts the density of states at the Fermi level at 3.26 states/eV/f.u. The space group is P2_1/m (11).

Cell: 8.289 3.833 9.119 Å, 90.00 111.58 90.00°
Positions (direct):
Th 0.169 0.250 0.444
Th 0.250 0.250 0.871
Th 0.750 0.750 0.129
Th 0.831 0.750 0.556
Co 0.205 0.750 0.660
Co 0.795 0.250 0.340
Sn 0.469 0.250 0.271
Sn 0.531 0.750 0.729
Hg 0.145 0.750 0.134
Hg 0.855 0.250 0.866

Pa2CdNi9 | PBE-GGA | optimized geometry

Calculated values
The formation energy comes out at -0.250 eV/atom. The calculation puts the density of states at the Fermi level at 14.11 states/eV/f.u. The space group is R-3m (166).

Cell: 8.644 8.644 8.644 Å, 32.81 32.81 32.81°
Positions (direct):
Pa 0.136 0.136 0.136
Pa 0.864 0.864 0.864
Cd 0.000 0.000 0.000
Ni 0.082 0.584 0.584
Ni 0.333 0.333 0.333
Ni 0.416 0.416 0.918
Ni 0.416 0.918 0.416
Ni 0.500 0.500 0.500
Ni 0.584 0.082 0.584
Ni 0.584 0.584 0.082
Ni 0.667 0.667 0.667
Ni 0.918 0.416 0.416

Ac6Si3H2 | PBE-GGA | optimized geometry

Calculated values
As for the uncorrected energy: -51.35 eV/f.u. The calculation puts the density of states at the Fermi level at 10.58 states/eV/f.u. The space group is I4/mmm (139).

Cell: 13.121 13.121 13.121 Å, 157.88 157.88 31.48°
Positions (direct):
Ac 0.079 0.579 0.500
Ac 0.204 0.204 0.000
Ac 0.421 0.921 0.500
Ac 0.579 0.079 0.500
Ac 0.796 0.796 0.000
Ac 0.921 0.421 0.500
Si 0.330 0.330 0.000
Si 0.500 0.500 0.000
Si 0.670 0.670 0.000
H 0.099 0.099 0.000
H 0.901 0.901 0.000

CaTa3Te | PBE-GGA | optimized geometry

Calculated values
The calculation puts the density of states at the Fermi level at 7.96 states/eV/f.u. The energy relative to the elements, uncorrected is 1.42 eV/atom. The space group is Pm-3m (221). As for the energy relative to the lowest polymorph listed for this composition: 0.0 meV/atom.

Cell: 5.098 5.098 5.098 Å, 90.00 90.00 90.00°
Positions (direct):
Ca 0.000 0.000 0.000
Ta 0.000 0.500 0.500
Ta 0.500 0.000 0.500
Ta 0.500 0.500 0.000
Te 0.500 0.500 0.500

LuHfTlZn | PBE-GGA | optimized geometry

Calculated values
The formation energy comes out at -0.056 eV/atom. The calculation puts the density of states at the Fermi level at 3.27 states/eV/f.u. The space group is F-43m (216).

Cell: 4.978 4.978 4.978 Å, 60.00 60.00 60.00°
Positions (direct):
Lu 0.000 0.000 0.000
Hf 0.500 0.500 0.500
Tl 0.250 0.250 0.250
Zn 0.750 0.750 0.750

Cs2RbZnIn | PBE-GGA | optimized geometry

Calculated values
The formation energy comes out at 0.105 eV/atom. The calculation puts the density of states at the Fermi level at 4.76 states/eV/f.u. The space group is P4/mmm (123).

Cell: 7.387 7.387 5.473 Å, 90.00 90.00 90.00°
Positions (direct):
Cs 0.000 0.500 0.000
Cs 0.500 0.000 0.000
Rb 0.000 0.000 0.500
Zn 0.500 0.500 0.000
In 0.500 0.500 0.500

NpMn2In | PBE-GGA | optimized geometry

Calculated values
The formation energy comes out at 0.158 eV/atom. The calculation puts the density of states at the Fermi level at 4.58 states/eV/f.u. The space group is P4/mmm (123).

Cell: 4.686 4.686 3.116 Å, 90.00 90.00 90.00°
Positions (direct):
Np 0.000 0.000 0.000
Mn 0.000 0.500 0.500
Mn 0.500 0.000 0.500
In 0.500 0.500 0.000

Zn2AgAsO6 | PBE-GGA | optimized geometry

Calculated values
The energy relative to the elements, uncorrected is -0.94 eV/atom. The space group is C2/c (15).

Cell: 7.513 7.513 6.354 Å, 108.01 108.01 94.93°
Positions (direct):
Zn 0.069 0.242 0.087
Zn 0.242 0.069 0.587
Zn 0.758 0.931 0.413
Zn 0.931 0.758 0.913
Ag 0.371 0.629 0.750
Ag 0.629 0.371 0.250
As 0.334 0.666 0.250
As 0.666 0.334 0.750
O 0.061 0.105 0.309
O 0.105 0.061 0.809
O 0.175 0.672 0.991
O 0.299 0.443 0.271
O 0.328 0.825 0.509
O 0.443 0.299 0.771
O 0.557 0.701 0.229
O 0.672 0.175 0.491
O 0.701 0.557 0.729
O 0.825 0.328 0.009
O 0.895 0.939 0.191
O 0.939 0.895 0.691